# 1
Below is crystalline RbSrLi2Tc at its relaxed geometry, with properties calculated at the PBE level.

- symmetry = No. 123
- V (Å³ per cell) = 154.2
- magnetization (μB/cell) = 1.03
- energy (eV per atom) = -2.323
- energy relative to the elements (eV per formula unit) = 5.2

Unit cell a=5.3129 b=5.4640 c=5.3129 alpha=90.00 beta=90.00 gamma=90.00
Last column: nearest neighbours and their distance in Å.
Positions (direct):
Rb 0.0000 0.5000 0.0000  2 Tc 2.73
Tc 0.0000 0.0000 0.0000  4 Li 2.66, 2 Rb 2.73
Sr 0.5000 0.5000 0.5000  4 Rb 3.76, 8 Li 3.81
Li 0.5000 0.0000 0.0000  2 Tc 2.66
Li 0.0000 0.0000 0.5000  2 Tc 2.66

---

# 2
Below is crystalline RbTmPd2F8 at its relaxed geometry, with properties calculated at the PBE level.

- formation energy (no corrections) (eV per atom) = -2.161
- symmetry = No. 147
- V (Å³ per cell) = 244.2
- magnetization (μB/cell) = 4.00
- energy (eV per atom) = -4.727

Unit cell a=5.9442 b=5.9442 c=7.9809 alpha=90.00 beta=90.00 gamma=120.00
Last column: nearest neighbours and their distance in Å.
Positions (direct):
F 0.3333 0.6667 0.9992  1 Pd 2.00
F 0.2725 0.9809 0.6663  1 Tm 2.14, 1 Pd 2.17
F 0.9809 0.7084 0.3337  1 Tm 2.14, 1 Pd 2.17
F 0.2916 0.2725 0.3337  1 Tm 2.14, 1 Pd 2.17
F 0.0191 0.2916 0.6663  1 Tm 2.14, 1 Pd 2.17
F 0.6667 0.3333 0.0008  1 Pd 2.00
F 0.7275 0.0191 0.3337  1 Tm 2.14, 1 Pd 2.17
F 0.7084 0.7275 0.6663  1 Tm 2.14, 1 Pd 2.17
Rb 0.0000 0.0000 0.0000  12 F 3.15-3.43
Pd 0.3333 0.6667 0.7482  4 F 2.00-2.17
Pd 0.6667 0.3333 0.2518  4 F 2.00-2.17
Tm 0.0000 0.0000 0.5000  6 F 2.14

---

# 3
Below is crystalline ScRh2Cl at its relaxed geometry, with properties calculated at the PBE level.

- formation energy (no corrections) (eV per atom) = -0.275
- symmetry = No. 47
- V (Å³ per cell) = 65.8
- magnetization (μB/cell) = 0.00
- energy (eV per atom) = -5.995
- ΔE to the lowest computed polymorph (meV per atom) = 228

Unit cell a=3.0404 b=3.8889 c=5.5664 alpha=90.00 beta=90.00 gamma=90.00
Last column: nearest neighbours and their distance in Å.
Positions (direct):
Cl 0.5000 0.5000 0.7500  2 Sc 2.78, 8 Rh 2.86, 2 Cl 3.04
Sc 0.5000 0.5000 0.2500  2 Cl 2.78, 8 Rh 2.81, 2 Sc 3.04
Rh 0.0000 0.0000 0.0094  2 Rh 2.68-2.89, 4 Sc 2.81, 4 Cl 2.86
Rh 0.0000 0.0000 0.4906  2 Rh 2.68-2.89, 4 Sc 2.81, 4 Cl 2.86

---

# 4
Below is crystalline Cs2YSe2 at its relaxed geometry, with properties calculated at the PBE level.

- formation energy (no corrections) (eV per atom) = -1.026
- symmetry = No. 127
- V (Å³ per cell) = 378.5
- magnetization (μB/cell) = 1.30
- energy (eV per atom) = -4.055

Unit cell a=8.0630 b=8.0630 c=5.8217 alpha=90.00 beta=90.00 gamma=90.00
Last column: nearest neighbours and their distance in Å.
Positions (direct):
Y 0.5000 0.5000 0.0000  4 Se 2.95
Y 0.0000 0.0000 0.0000  4 Se 2.95
Se 0.1844 0.6844 0.0000  2 Y 2.95
Se 0.3156 0.1844 0.0000  2 Y 2.95
Se 0.6844 0.8156 0.0000  2 Y 2.95
Se 0.8156 0.3156 0.0000  2 Y 2.95
Cs 0.8485 0.6515 0.5000  1 Cs 3.45, 2 Se 3.46
Cs 0.1515 0.3485 0.5000  1 Cs 3.45, 2 Se 3.46
Cs 0.6515 0.1515 0.5000  1 Cs 3.45, 2 Se 3.46
Cs 0.3485 0.8485 0.5000  1 Cs 3.45, 2 Se 3.46

---

# 5
Below is crystalline Hf3MgCr at its relaxed geometry, with properties calculated at the PBE level.

- symmetry = No. 221
- V (Å³ per cell) = 114.8
- magnetization (μB/cell) = 0.00
- energy (eV per atom) = -7.652
- energy relative to the elements (eV per formula unit) = 2.8
- ΔE to the lowest computed polymorph (meV per atom) = 0

Unit cell a=4.8595 b=4.8595 c=4.8595 alpha=90.00 beta=90.00 gamma=90.00
Last column: nearest neighbours and their distance in Å.
Positions (direct):
Hf 0.0000 0.5000 0.0000  2 Cr 2.43
Hf 0.5000 0.0000 0.0000  2 Cr 2.43
Hf 0.0000 0.0000 0.5000  2 Cr 2.43
Mg 0.5000 0.5000 0.5000  12 Hf 3.44
Cr 0.0000 0.0000 0.0000  6 Hf 2.43

---

# 6
Below is crystalline Cu2NiIr at its relaxed geometry, with properties calculated at the PBE level.

- symmetry = No. 6
- V (Å³ per cell) = 49.9
- magnetization (μB/cell) = 0.00
- energy (eV per atom) = -5.626
- energy relative to the elements (eV per formula unit) = 0.3
- ΔE to the lowest computed polymorph (meV per atom) = 30

Unit cell a=3.6797 b=2.5941 c=5.8216 alpha=63.87 beta=90.00 gamma=90.00
Last column: nearest neighbours and their distance in Å.
Positions (direct):
Ni 0.5000 0.7565 0.7455  4 Ir 2.57, 6 Cu 2.59-2.64, 2 Ni 2.59
Cu 0.0000 0.9958 0.0038  6 Cu 2.56-2.59, 2 Ir 2.58-2.64, 4 Ni 2.62-2.63
Cu 0.5000 0.2574 0.2409  6 Cu 2.56-2.59, 2 Ni 2.59-2.64, 4 Ir 2.65-2.66
Ir 0.0000 0.4903 0.5098  4 Ni 2.57, 6 Cu 2.58-2.66, 2 Ir 2.59

---

# 7
Below is crystalline NpZn4Fe at its relaxed geometry, with properties calculated at the PBE level.

- symmetry = No. 216
- V (Å³ per cell) = 97.7
- magnetization (μB/cell) = 2.70
- energy (eV per atom) = -4.259
- energy relative to the elements (eV per formula unit) = 0.9

Unit cell a=5.1690 b=5.1690 c=5.1690 alpha=60.00 beta=60.00 gamma=60.00
Last column: nearest neighbours and their distance in Å.
Positions (direct):
Zn 0.6264 0.1208 0.6264  6 Zn 2.56-2.61
Zn 0.6264 0.6264 0.6264  6 Zn 2.56-2.61
Zn 0.6264 0.6264 0.1208  6 Zn 2.56-2.61
Zn 0.1208 0.6264 0.6264  6 Zn 2.56-2.61
Np 0.2500 0.2500 0.2500  12 Zn 3.03, 4 Fe 3.17
Fe 0.0000 0.0000 0.0000  12 Zn 3.03, 4 Np 3.17

---

# 8
Below is crystalline Bi2PbAu2 at its relaxed geometry, with properties calculated at the PBE level.

- symmetry = No. 127
- V (Å³ per cell) = 262.2
- magnetization (μB/cell) = 0.00
- energy (eV per atom) = -3.620
- energy relative to the elements (eV per formula unit) = -0.1
- ΔE to the lowest computed polymorph (meV per atom) = 25

Unit cell a=7.9955 b=7.9955 c=4.1015 alpha=90.00 beta=90.00 gamma=90.00
Last column: nearest neighbours and their distance in Å.
Positions (direct):
Au 0.6278 0.1278 0.0000  1 Au 2.89, 6 Bi 3.06-3.17, 2 Pb 3.15
Au 0.8722 0.6278 0.0000  1 Au 2.89, 6 Bi 3.06-3.17, 2 Pb 3.15
Au 0.1278 0.3722 0.0000  1 Au 2.89, 6 Bi 3.06-3.17, 2 Pb 3.15
Au 0.3722 0.8722 0.0000  1 Au 2.89, 6 Bi 3.06-3.17, 2 Pb 3.15
Bi 0.8281 0.3281 0.5000  6 Au 3.06-3.17
Bi 0.3281 0.1719 0.5000  6 Au 3.06-3.17
Bi 0.6719 0.8281 0.5000  6 Au 3.06-3.17
Bi 0.1719 0.6719 0.5000  6 Au 3.06-3.17
Pb 0.0000 0.0000 0.0000  4 Au 3.15
Pb 0.5000 0.5000 0.0000  4 Au 3.15

---

# 9
Below is crystalline Fe8Co2Si at its relaxed geometry, with properties calculated at the PBE level.

- formation energy (no corrections) (eV per atom) = -0.099
- symmetry = No. 12
- V (Å³ per cell) = 125.3
- magnetization (μB/cell) = 21.82
- energy (eV per atom) = -8.038
- ΔE to the lowest computed polymorph (meV per atom) = 0

Unit cell a=2.8687 b=6.2908 c=7.3368 alpha=75.12 beta=78.71 gamma=89.99
Last column: nearest neighbours and their distance in Å.
Positions (direct):
Co 0.2721 0.3634 0.4244  6 Fe 2.44-2.47, 2 Co 2.46
Co 0.7270 0.6371 0.5150  6 Fe 2.44-2.47, 2 Co 2.46
Fe 0.9092 0.5460 0.1502  6 Fe 2.45-2.46, 2 Co 2.47
Fe 0.5449 0.7301 0.8793  2 Si 2.44, 6 Fe 2.45-2.46
Fe 0.8189 0.0915 0.3312  6 Fe 2.44-2.48, 2 Co 2.46
Fe 0.4541 0.2704 0.0601  2 Si 2.44, 6 Fe 2.44-2.46
Fe 0.6366 0.1835 0.6945  2 Co 2.44, 4 Fe 2.45-2.46, 2 Si 2.47
Fe 0.3625 0.8171 0.2449  2 Co 2.44, 4 Fe 2.45-2.46, 2 Si 2.47
Fe 0.1801 0.9091 0.6081  6 Fe 2.45-2.48, 2 Co 2.46
Fe 0.0898 0.4545 0.7893  6 Fe 2.45-2.46, 2 Co 2.47
Si 0.9995 0.0003 0.9697  8 Fe 2.44-2.47

---

# 10
Below is crystalline CsZrSi2 at its relaxed geometry, with properties calculated at the PBE level.

- formation energy (no corrections) (eV per atom) = 0.421
- symmetry = No. 141
- V (Å³ per cell) = 304.4
- magnetization (μB/cell) = 0.00
- energy (eV per atom) = -4.641
- ΔE to the lowest computed polymorph (meV per atom) = 0

Unit cell a=5.9139 b=5.9139 c=9.6563 alpha=72.17 beta=72.17 gamma=90.00
Last column: nearest neighbours and their distance in Å.
Positions (direct):
Si 0.3754 0.1250 0.2500  2 Zr 2.63
Si 0.8750 0.6254 0.7500  2 Zr 2.63
Si 0.3750 0.6246 0.7500  2 Zr 2.63
Si 0.3746 0.6250 0.2500  2 Zr 2.63
Cs 0.7500 0.2500 0.5000  8 Si 3.96, 4 Zr 4.18
Cs 0.0000 0.0000 0.0000  8 Si 3.96, 4 Zr 4.18
Zr 0.2500 0.7500 0.5000  4 Si 2.63
Zr 0.5000 0.5000 0.0000  4 Si 2.63

---

# 11
Below is crystalline MgFeTc4 at its relaxed geometry, with properties calculated at the PBE level.

- symmetry = No. 216
- V (Å³ per cell) = 95.4
- magnetization (μB/cell) = 3.08
- energy (eV per atom) = -8.230
- energy relative to the elements (eV per formula unit) = 2.1

Unit cell a=5.1283 b=5.1283 c=5.1283 alpha=60.00 beta=60.00 gamma=60.00
Last column: nearest neighbours and their distance in Å.
Positions (direct):
Tc 0.8744 0.3752 0.3752  6 Tc 2.56-2.57
Tc 0.3752 0.3752 0.3752  6 Tc 2.56-2.57
Tc 0.3752 0.8744 0.3752  6 Tc 2.56-2.57
Tc 0.3752 0.3752 0.8744  6 Tc 2.56-2.57
Fe 0.7500 0.7500 0.7500  12 Tc 3.01, 4 Mg 3.14
Mg 0.0000 0.0000 0.0000  12 Tc 3.01, 4 Fe 3.14

---

# 12
Below is crystalline SnSbSe3 at its relaxed geometry, with properties calculated at the PBE level.

- formation energy (no corrections) (eV per atom) = 0.193
- symmetry = No. 221
- V (Å³ per cell) = 150.4
- magnetization (μB/cell) = 0.00
- energy (eV per atom) = -3.523
- ΔE to the lowest computed polymorph (meV per atom) = 491

Unit cell a=5.3184 b=5.3184 c=5.3184 alpha=90.00 beta=90.00 gamma=90.00
Last column: nearest neighbours and their distance in Å.
Positions (direct):
Se 0.0000 0.0000 0.5000  2 Sb 2.66
Se 0.0000 0.5000 0.0000  2 Sb 2.66
Se 0.5000 0.0000 0.0000  2 Sb 2.66
Sn 0.5000 0.5000 0.5000  12 Se 3.76
Sb 0.0000 0.0000 0.0000  6 Se 2.66